No. 1
This record from Alexandria via LeMat-Bulk describes a crystal of Mg14MnCdO16 relaxed with PBEsol. The functional is SCAN.

Unit cell a=4.2830 b=8.5459 c=8.5629 alpha=90.00 beta=90.00 gamma=90.00
Fractional coordinates of all 32 atoms:
Mg1 0.0000 0.0000 0.0000
Mg2 0.0000 0.2483 0.2465
Mg3 0.0000 0.2483 0.7535
Mg4 0.0000 0.5000 0.0000
Mg5 0.0000 0.7517 0.2465
Mg6 0.0000 0.7517 0.7535
Mg7 0.5000 0.0000 0.2480
Mg8 0.5000 0.0000 0.7520
Mg9 0.5000 0.2465 0.5000
Mg10 0.5000 0.2496 0.0000
Mg11 0.5000 0.5000 0.2450
Mg12 0.5000 0.5000 0.7550
Mg13 0.5000 0.7504 0.0000
Mg14 0.5000 0.7535 0.5000
Mn1 0.0000 0.0000 0.5000
Cd1 0.0000 0.5000 0.5000
O1 0.0000 0.0000 0.2411
O2 0.0000 0.0000 0.7589
O3 0.0000 0.2390 0.5000
O4 0.0000 0.2486 0.0000
O5 0.0000 0.5000 0.2343
O6 0.0000 0.5000 0.7657
O7 0.0000 0.7514 0.0000
O8 0.0000 0.7610 0.5000
O9 0.5000 0.0000 0.0000
O10 0.5000 0.0000 0.5000
O11 0.5000 0.2502 0.2510
O12 0.5000 0.2502 0.7490
O13 0.5000 0.5000 0.0000
O14 0.5000 0.5000 0.5000
O15 0.5000 0.7498 0.2510
O16 0.5000 0.7498 0.7490

Summary:
* excess energy over the best structure of this formula in the dataset: 0.0037 eV/atom
* calculated total energy: -9.61 eV per atom
* E_form (uncorrected): -2.79 eV per atom

---

No. 2
This record from Alexandria via LeMat-Bulk describes a crystal of ZnSb2IN relaxed with PBEsol. The functional is SCAN.

Unit cell a=4.7198 b=4.7198 c=4.8706 alpha=90.00 beta=90.00 gamma=90.00
Fractional coordinates of all 5 atoms:
Zn1 0.0000 0.0000 0.0000
Sb1 0.0000 0.5000 0.5000
Sb2 0.5000 0.0000 0.5000
I1 0.5000 0.5000 0.0000
N1 0.5000 0.5000 0.5000

Summary:
* D(E_F): 4.5 states/eV/f.u.
* calculated total energy: -25.86 eV per atom
* E_form (uncorrected): 0.96 eV per atom

---

No. 3
This record from Alexandria via LeMat-Bulk describes a crystal of HfMgBeP2 relaxed with PBEsol. The functional is SCAN.

Unit cell a=4.3688 b=4.3688 c=4.1471 alpha=90.00 beta=90.00 gamma=90.00
Fractional coordinates of all 5 atoms:
Hf1 0.0000 0.0000 0.0000
Mg1 0.5000 0.5000 0.0000
Be1 0.5000 0.5000 0.5000
P1 0.0000 0.5000 0.5000
P2 0.5000 0.0000 0.5000

Summary:
* formation energy from the elements: 450 meV/atom
* D(E_F): 2.5 states/eV/f.u.
* calculated total energy: -18.11 eV per atom